Entry 1:
First-principles (GGA-PBE) data for an optimized crystal structure of Hf2Pt3Au, as listed in OQMD via LeMat-Bulk.

a b c (Å): 3.489 3.489 8.701
angles (deg): 90.00 90.00 90.00
Fractional positions:
Hf  0.000  0.000  0.000
Hf  0.500  0.500  0.483
Pt  0.000  0.000  0.337
Pt  0.500  0.500  0.156
Pt  0.500  0.500  0.834
Au  0.000  0.000  0.661

Properties
* formation enthalpy at 0 K: -1014 meV/atom

---

Entry 2:
First-principles (GGA-PBE) data for an optimized crystal structure of HfPtAu2, as listed in OQMD via LeMat-Bulk.

a b c (Å): 4.642 4.642 4.642
angles (deg): 60.00 60.00 60.00
Fractional positions:
Hf  0.000  0.000  0.000
Pt  0.750  0.750  0.750
Au  0.250  0.250  0.250
Au  0.500  0.500  0.500

Properties
* formation enthalpy at 0 K: -564 meV/atom

---

Entry 3:
First-principles (GGA-PBE) data for an optimized crystal structure of Hf3Zn3PtAu2, as listed in OQMD via LeMat-Bulk.

a b c (Å): 7.297 7.297 3.494
angles (deg): 90.00 90.00 120.00
Fractional positions:
Hf  0.000  0.619  0.000
Hf  0.381  0.381  0.000
Hf  0.619  0.000  0.000
Zn  0.000  0.271  0.500
Zn  0.271  0.000  0.500
Zn  0.729  0.729  0.500
Pt  0.000  0.000  0.000
Au  0.333  0.667  0.500
Au  0.667  0.333  0.500

Properties
* formation enthalpy at 0 K: -524 meV/atom

---

Entry 4:
First-principles (GGA-PBE) data for an optimized crystal structure of Hf3Zn3Pt2Au, as listed in OQMD via LeMat-Bulk.

a b c (Å): 7.347 7.347 3.361
angles (deg): 90.00 90.00 120.00
Fractional positions:
Hf  0.000  0.604  0.000
Hf  0.396  0.396  0.000
Hf  0.604  0.000  0.000
Zn  0.000  0.279  0.500
Zn  0.279  0.000  0.500
Zn  0.721  0.721  0.500
Pt  0.333  0.667  0.500
Pt  0.667  0.333  0.500
Au  0.000  0.000  0.000

Properties
* formation enthalpy at 0 K: -715 meV/atom

---

Entry 5:
First-principles (GGA-PBE) data for an optimized crystal structure of PuHfAu, as listed in OQMD via LeMat-Bulk.

a b c (Å): 4.620 4.620 4.620
angles (deg): 60.00 60.00 60.00
Fractional positions:
Pu  0.000  0.000  0.000
Hf  0.750  0.750  0.750
Au  0.500  0.500  0.500

Properties
* distance to the lowest polymorph of the same formula: 0.0 kJ/mol of atoms
* formation enthalpy at 0 K: 276 meV/atom

---

Entry 6:
First-principles (GGA-PBE) data for an optimized crystal structure of RbHfAuS3, as listed in OQMD via LeMat-Bulk.

a b c (Å): 7.800 7.800 10.012
angles (deg): 90.00 90.00 151.69
Fractional positions:
Rb  0.243  0.757  0.750
Rb  0.757  0.243  0.250
Hf  0.500  0.500  0.000
Hf  0.500  0.500  0.500
Au  0.060  0.940  0.250
Au  0.940  0.060  0.750
S  0.116  0.884  0.026
S  0.116  0.884  0.474
S  0.440  0.560  0.250
S  0.560  0.440  0.750
S  0.884  0.116  0.526
S  0.884  0.116  0.974

---

| no. | VASP energy (eV per cell) |
| --- | --- |
| 1 | -47.4 |
| 2 | -24.8 |
| 3 | -51.0 |
| 4 | -55.5 |
| 5 | -26.5 |
| 6 | -66.2 |